(1)
# Ce2AlGa4Ni3

Ce2AlGa4Ni3 after structural relaxation (GGA-PBE, the Alexandria database).

## Properties
ρ: 7.28 g cm⁻³
volume: 173.9 Å³/f.u.
calculated formation energy: -0.55 eV per atom
DOS(E_F): 1.099 states/eV/atom

a = 4.0609 Å, b = 4.0609 Å, c = 10.5451 Å
α = 90.00°, β = 90.00°, γ = 90.00°
Closest atoms and distances in Å follow each position.
Fractional positions:
Ce 0.0000 0.5000 0.2376  6 Ni 3.08-3.43, 8 Ga 3.14-3.23, 2 Al 3.43
Ce 0.5000 0.0000 0.7624  6 Ni 3.08-3.43, 8 Ga 3.14-3.23, 2 Al 3.43
Al 0.0000 0.0000 0.5000  4 Ga 2.53
Ga 0.0000 0.0000 0.0000  4 Ni 2.46
Ga 0.0000 0.5000 0.6426  3 Ni 2.38-2.53, 2 Al 2.53
Ga 0.5000 0.0000 0.3574  3 Ni 2.38-2.53, 2 Al 2.53
Ga 0.5000 0.5000 0.0000  4 Ni 2.46
Ni 0.0000 0.5000 0.8684  5 Ga 2.38-2.46
Ni 0.5000 0.0000 0.1316  5 Ga 2.38-2.46
Ni 0.5000 0.5000 0.5000  4 Ga 2.53

***

(2)
# CeAlGaOs

CeAlGaOs after structural relaxation (GGA-PBE, the Alexandria database).

## Properties
ρ: 8.84 g cm⁻³
volume: 80.2 Å³/f.u.
calculated formation energy: -0.32 eV per atom
DOS(E_F): 1.087 states/eV/atom

a = 5.5899 Å, b = 5.5899 Å, c = 5.5899 Å
α = 45.24°, β = 45.24°, γ = 45.24°
Closest atoms and distances in Å follow each position.
Fractional positions:
Ce 0.0000 0.0000 0.0000  4 Al 3.08-3.18, 4 Ga 3.11-3.12, 3 Os 3.16
Al 0.7885 0.7885 0.7885  3 Os 2.49
Ga 0.2072 0.2072 0.2072  3 Os 2.74, 3 Al 2.79
Os 0.4635 0.4635 0.4635  3 Al 2.49, 3 Ga 2.74

***

(3)
# CeAl2GaPd2

CeAl2GaPd2 after structural relaxation (GGA-PBE, the Alexandria database).

## Properties
ρ: 6.41 g cm⁻³
volume: 123.6 Å³/f.u.
calculated formation energy: -0.41 eV per atom
DOS(E_F): 1.694 states/eV/atom

a = 4.6504 Å, b = 4.6504 Å, c = 5.7129 Å
α = 90.00°, β = 90.00°, γ = 90.00°
Closest atoms and distances in Å follow each position.
Fractional positions:
Ce 0.0000 0.0000 0.0000  2 Ga 2.86
Al 0.5000 0.5000 0.2437  4 Pd 2.75, 2 Al 2.78-2.93
Al 0.5000 0.5000 0.7563  4 Pd 2.75, 2 Al 2.78-2.93
Ga 0.0000 0.0000 0.5000  4 Pd 2.33
Pd 0.0000 0.5000 0.5000  2 Ga 2.33
Pd 0.5000 0.0000 0.5000  2 Ga 2.33

***

(4)
# CeAlGa2Pd

CeAlGa2Pd after structural relaxation (GGA-PBE, the Alexandria database).

## Properties
ρ: 7.19 g cm⁻³
volume: 95.4 Å³/f.u.
calculated formation energy: -0.66 eV per atom
DOS(E_F): 1.227 states/eV/atom

a = 6.2672 Å, b = 6.2672 Å, c = 6.2672 Å
α = 141.32°, β = 141.32°, γ = 55.86°
Closest atoms and distances in Å follow each position.
Fractional positions:
Ce 0.0000 0.0000 0.0000  8 Ga 3.19, 4 Al 3.46, 4 Pd 3.46
Al 0.7500 0.2500 0.5000  4 Ga 2.58
Ga 0.3882 0.3882 0.0000  1 Ga 2.48, 2 Al 2.58, 2 Pd 2.58
Ga 0.6118 0.6118 0.0000  1 Ga 2.48, 2 Al 2.58, 2 Pd 2.58
Pd 0.2500 0.7500 0.5000  4 Ga 2.58

***

(5)
# CeAl2GaPd4

CeAl2GaPd4 after structural relaxation (GGA-PBE, the Alexandria database).

## Properties
ρ: 8.15 g cm⁻³
volume: 140.5 Å³/f.u.
calculated formation energy: -0.75 eV per atom
DOS(E_F): 0.939 states/eV/atom

a = 9.0600 Å, b = 9.0600 Å, c = 9.0600 Å
α = 27.56°, β = 27.56°, γ = 27.56°
Closest atoms and distances in Å follow each position.
Fractional positions:
Ce 0.0000 0.0000 0.0000  6 Pd 3.08
Al 0.2398 0.2398 0.2398  7 Pd 2.57-2.77
Al 0.7602 0.7602 0.7602  7 Pd 2.57-2.77
Ga 0.5000 0.5000 0.5000  8 Pd 2.55-2.64
Pd 0.1337 0.1337 0.1337  3 Ga 2.64, 4 Al 2.70-2.77
Pd 0.4024 0.4024 0.4024  1 Ga 2.55, 3 Al 2.57
Pd 0.5976 0.5976 0.5976  1 Ga 2.55, 3 Al 2.57
Pd 0.8663 0.8663 0.8663  3 Ga 2.64, 4 Al 2.70-2.77

***

(6)
# CePmAlGa

CePmAlGa after structural relaxation (GGA-PBE, the Alexandria database).

## Properties
ρ: 6.38 g cm⁻³
volume: 99.4 Å³/f.u.
calculated formation energy: -0.40 eV per atom
DOS(E_F): 1.591 states/eV/atom

a = 5.1994 Å, b = 5.1994 Å, c = 5.1994 Å
α = 60.00°, β = 60.00°, γ = 60.00°
Closest atoms and distances in Å follow each position.
Fractional positions:
Ce 0.0000 0.0000 0.0000  4 Ga 3.18, 4 Al 3.18
Pm 0.5000 0.5000 0.5000  4 Al 3.18, 4 Ga 3.18
Al 0.2500 0.2500 0.2500  4 Pm 3.18, 4 Ce 3.18
Ga 0.7500 0.7500 0.7500  4 Pm 3.18, 4 Ce 3.18

***

(7)
# Ce2PmAl2Ga2

Ce2PmAl2Ga2 after structural relaxation (GGA-PBE, the Alexandria database).

## Properties
ρ: 6.60 g cm⁻³
volume: 155.6 Å³/f.u.
calculated formation energy: -0.41 eV per atom
DOS(E_F): 1.538 states/eV/atom

a = 9.6874 Å, b = 9.6874 Å, c = 9.6874 Å
α = 26.16°, β = 26.16°, γ = 26.16°
Closest atoms and distances in Å follow each position.
Fractional positions:
Ce 0.1418 0.1418 0.1418  3 Ce 2.89, 3 Al 3.18, 3 Ga 3.23
Ce 0.8582 0.8582 0.8582  3 Ce 2.89, 3 Al 3.18, 3 Ga 3.23
Pm 0.0000 0.0000 0.0000  6 Ga 3.20, 6 Al 3.26
Al 0.4067 0.4067 0.4067  3 Ga 2.53
Al 0.5933 0.5933 0.5933  3 Ga 2.53
Ga 0.2633 0.2633 0.2633  3 Al 2.53
Ga 0.7367 0.7367 0.7367  3 Al 2.53

***

(8)
# Ce2PrAl2Ga2

Ce2PrAl2Ga2 after structural relaxation (GGA-PBE, the Alexandria database).

## Properties
ρ: 6.44 g cm⁻³
volume: 158.4 Å³/f.u.
calculated formation energy: -0.41 eV per atom
DOS(E_F): 1.547 states/eV/atom

a = 9.8122 Å, b = 9.8122 Å, c = 9.8122 Å
α = 25.87°, β = 25.87°, γ = 25.87°
Closest atoms and distances in Å follow each position.
Fractional positions:
Ce 0.1422 0.1422 0.1422  3 Ce 2.89, 3 Al 3.18, 3 Ga 3.23
Ce 0.8578 0.8578 0.8578  3 Ce 2.89, 3 Al 3.18, 3 Ga 3.23
Pr 0.0000 0.0000 0.0000  6 Ga 3.25, 6 Al 3.30
Al 0.4078 0.4078 0.4078  3 Ga 2.54
Al 0.5922 0.5922 0.5922  3 Ga 2.54
Ga 0.2616 0.2616 0.2616  3 Al 2.54
Ga 0.7384 0.7384 0.7384  3 Al 2.54

***

(9)
# Ce2AlGa4Pt3

Ce2AlGa4Pt3 after structural relaxation (GGA-PBE, the Alexandria database).

## Properties
ρ: 10.12 g cm⁻³
volume: 192.1 Å³/f.u.
calculated formation energy: -0.86 eV per atom
DOS(E_F): 1.277 states/eV/atom

a = 4.1796 Å, b = 4.1796 Å, c = 10.9989 Å
α = 90.00°, β = 90.00°, γ = 90.00°
Closest atoms and distances in Å follow each position.
Fractional positions:
Ce 0.0000 0.5000 0.2438  6 Pt 3.19-3.51, 8 Ga 3.23-3.40, 2 Al 3.51
Ce 0.5000 0.0000 0.7562  6 Pt 3.19-3.51, 8 Ga 3.23-3.40, 2 Al 3.51
Al 0.0000 0.0000 0.5000  4 Ga 2.59
Ga 0.0000 0.0000 0.0000  4 Pt 2.57
Ga 0.0000 0.5000 0.6388  3 Pt 2.48-2.59, 2 Al 2.59
Ga 0.5000 0.0000 0.3612  3 Pt 2.48-2.59, 2 Al 2.59
Ga 0.5000 0.5000 0.0000  4 Pt 2.57
Pt 0.0000 0.5000 0.8643  5 Ga 2.48-2.57
Pt 0.5000 0.0000 0.1357  5 Ga 2.48-2.57
Pt 0.5000 0.5000 0.5000  4 Ga 2.59

***

(10)
# CeAlGa2Pt4

CeAlGa2Pt4 after structural relaxation (GGA-PBE, the Alexandria database).

## Properties
ρ: 12.87 g cm⁻³
volume: 140.2 Å³/f.u.
calculated formation energy: -0.91 eV per atom
DOS(E_F): 0.723 states/eV/atom

a = 8.9798 Å, b = 8.9798 Å, c = 8.9798 Å
α = 27.92°, β = 27.92°, γ = 27.92°
Closest atoms and distances in Å follow each position.
Fractional positions:
Ce 0.0000 0.0000 0.0000  6 Pt 3.07, 6 Ga 3.38
Al 0.5000 0.5000 0.5000  8 Pt 2.53-2.62
Ga 0.2456 0.2456 0.2456  7 Pt 2.55-2.84
Ga 0.7544 0.7544 0.7544  7 Pt 2.55-2.84
Pt 0.1360 0.1360 0.1360  3 Al 2.62, 4 Ga 2.80-2.84
Pt 0.4024 0.4024 0.4024  1 Al 2.53, 3 Ga 2.55
Pt 0.5976 0.5976 0.5976  1 Al 2.53, 3 Ga 2.55
Pt 0.8640 0.8640 0.8640  3 Al 2.62, 4 Ga 2.80-2.84

***

(11)
# CeAlGaPt

CeAlGaPt after structural relaxation (GGA-PBE, the Alexandria database).

## Properties
ρ: 8.73 g cm⁻³
volume: 82.2 Å³/f.u.
calculated formation energy: -0.80 eV per atom
DOS(E_F): 1.140 states/eV/atom

a = 5.7826 Å, b = 5.7826 Å, c = 5.7826 Å
α = 43.21°, β = 43.21°, γ = 43.21°
Closest atoms and distances in Å follow each position.
Fractional positions:
Ce 0.0000 0.0000 0.0000  4 Ga 3.06-3.41, 4 Al 3.13-3.29
Al 0.2097 0.2097 0.2097  3 Pt 2.53
Ga 0.7831 0.7831 0.7831  3 Pt 2.61, 3 Al 2.86
Pt 0.5061 0.5061 0.5061  3 Al 2.53, 3 Ga 2.61

***

(12)
# Ce2AlGaPt6

Ce2AlGaPt6 after structural relaxation (GGA-PBE, the Alexandria database).

## Properties
ρ: 12.01 g cm⁻³
volume: 214.0 Å³/f.u.
calculated formation energy: -0.83 eV per atom
DOS(E_F): 1.363 states/eV/atom

a = 8.4149 Å, b = 8.4149 Å, c = 8.4149 Å
α = 39.18°, β = 39.18°, γ = 39.18°
Closest atoms and distances in Å follow each position.
Fractional positions:
Ce 0.2070 0.2070 0.2070  9 Pt 2.98-3.27
Ce 0.7930 0.7930 0.7930  9 Pt 2.98-3.27
Al 0.5000 0.5000 0.5000  6 Pt 2.50
Ga 0.0000 0.0000 0.0000  6 Pt 2.56
Pt 0.2474 0.7485 0.7485  1 Al 2.50, 1 Ga 2.56
Pt 0.2515 0.2515 0.7526  1 Al 2.50, 1 Ga 2.56
Pt 0.2515 0.7526 0.2515  1 Al 2.50, 1 Ga 2.56
Pt 0.7485 0.2474 0.7485  1 Al 2.50, 1 Ga 2.56
Pt 0.7485 0.7485 0.2474  1 Al 2.50, 1 Ga 2.56
Pt 0.7526 0.2515 0.2515  1 Al 2.50, 1 Ga 2.56